A relaxed structure of POF3. Source: Alexandria, functional GGA-PBEsol.

Lattice parameters (Å, degrees): 5.3328 5.3328 6.1885 90.00 90.00 120.00
With the nearest neighbours (Å) after each atom.
Space group P-3m1 (No. 164)
Inequivalent atoms, fractional coordinates:
P: 0.3333 0.6667 0.3176 [2 per cell]  1 O 1.46, 3 F 1.54
O: 0.3333 0.6667 0.5529 [2 per cell]  1 P 1.46
F: 0.1846 0.3692 0.2055 [6 per cell]  1 P 1.54

## Properties
- Formation energy (no corrections): -2461 meV/atom

---

A relaxed structure of POF. Source: Alexandria, functional GGA-PBEsol.

Lattice parameters (Å, degrees): 4.4363 4.7204 5.1511 69.55 89.69 89.58
With the nearest neighbours (Å) after each atom.
Space group P1 (No. 1)
Inequivalent atoms, fractional coordinates:
P: 0.0000 0.0000 0.0000 [1 per cell]  1 F 1.61, 2 O 1.62-1.67
P: 0.4982 0.8465 0.4260 [1 per cell]  1 F 1.61, 2 O 1.62-1.66
O: 0.3084 0.8404 0.1501 [1 per cell]  2 P 1.62-1.66
O: 0.8063 0.0052 0.2761 [1 per cell]  2 P 1.62-1.67
F: 0.1016 0.3475 0.9116 [1 per cell]  1 P 1.61
F: 0.6034 0.4988 0.5159 [1 per cell]  1 P 1.61

## Properties
- Formation energy (no corrections): -1908 meV/atom

---

A relaxed structure of P3Pb5O12F. Source: Alexandria, functional GGA-PBEsol.

Lattice parameters (Å, degrees): 9.8585 9.8585 7.3622 90.00 90.00 120.00
With the nearest neighbours (Å) after each atom.
Space group P6_3/m (No. 176)
Inequivalent atoms, fractional coordinates:
P: 0.0325 0.4021 0.2500 [6 per cell]  4 O 1.55-1.57
Pb: 0.0010 0.2488 0.7500 [6 per cell]  1 F 2.45, 5 O 2.46-2.60
Pb: 0.3333 0.6667 0.5025 [4 per cell]  6 O 2.58-2.61
O: 0.0874 0.3485 0.0801 [12 per cell]  1 P 1.56
O: 0.1204 0.5855 0.2500 [6 per cell]  1 P 1.57
O: 0.1465 0.6637 0.7500 [6 per cell]  1 P 1.55
F: 0.0000 0.0000 0.2500 [2 per cell]  3 Pb 2.45

## Properties
- Formation energy (no corrections): -1948 meV/atom

---

A relaxed structure of PPbO2F. Source: Alexandria, functional GGA-PBEsol.

Lattice parameters (Å, degrees): 4.5294 4.5294 3.4476 90.00 90.00 90.00
With the nearest neighbours (Å) after each atom.
Space group P4/mmm (No. 123)
Inequivalent atoms, fractional coordinates:
P: 0.0000 0.0000 0.0000 [1 per cell]  2 F 1.72
Pb: 0.5000 0.5000 0.0000 [1 per cell]  8 O 2.85
O: 0.0000 0.5000 0.5000 [2 per cell]  2 F 2.26
F: 0.0000 0.0000 0.5000 [1 per cell]  2 P 1.72

## Properties
- Formation energy (no corrections): 219 meV/atom

---

A relaxed structure of PPbO2F. Source: Alexandria, functional GGA-PBEsol.

Lattice parameters (Å, degrees): 4.2386 4.2386 4.3166 90.00 90.00 90.00
With the nearest neighbours (Å) after each atom.
Space group P4/mmm (No. 123)
Inequivalent atoms, fractional coordinates:
P: 0.0000 0.0000 0.0000 [1 per cell]  4 F 3.00, 8 O 3.02
Pb: 0.5000 0.5000 0.5000 [1 per cell]  4 O 2.12, 2 F 2.16
O: 0.0000 0.5000 0.5000 [2 per cell]  2 Pb 2.12
F: 0.5000 0.5000 0.0000 [1 per cell]  2 Pb 2.16

## Properties
- Formation energy (no corrections): -66 meV/atom

---

A relaxed structure of PPdOF2. Source: Alexandria, functional GGA-PBEsol.

Lattice parameters (Å, degrees): 4.0716 4.0716 3.9935 90.00 90.00 90.00
With the nearest neighbours (Å) after each atom.
Space group P4/mmm (No. 123)
Inequivalent atoms, fractional coordinates:
P: 0.0000 0.0000 0.0000 [1 per cell]  8 F 2.85, 4 O 2.88
Pd: 0.5000 0.5000 0.5000 [1 per cell]  2 O 2.00, 4 F 2.04
O: 0.5000 0.5000 0.0000 [1 per cell]  2 Pd 2.00
F: 0.0000 0.5000 0.5000 [2 per cell]  2 Pd 2.04

## Properties
- Formation energy (no corrections): -68 meV/atom

---

A relaxed structure of RbPO2F2. Source: Alexandria, functional GGA-PBEsol.

Lattice parameters (Å, degrees): 8.1450 6.4117 7.8134 90.00 90.00 90.00
With the nearest neighbours (Å) after each atom.
Space group Pnma (No. 62)
Inequivalent atoms, fractional coordinates:
Rb: 0.1451 0.2500 0.1425 [4 per cell]  6 O 2.85-3.11, 1 F 2.98
P: 0.1029 0.2500 0.6925 [4 per cell]  2 O 1.49, 2 F 1.59
O: 0.1060 0.0467 0.7835 [8 per cell]  1 P 1.49
F: 0.0457 0.7500 0.4395 [4 per cell]  1 P 1.59
F: 0.2454 0.2500 0.5532 [4 per cell]  1 P 1.59

## Properties
- Formation energy (no corrections): -2515 meV/atom

---

A relaxed structure of RbP2OF. Source: Alexandria, functional GGA-PBEsol.

Lattice parameters (Å, degrees): 6.9920 6.9920 5.0327 90.00 90.00 90.00
With the nearest neighbours (Å) after each atom.
Space group P4/mmm (No. 123)
Inequivalent atoms, fractional coordinates:
Rb: 0.0000 0.0000 0.0000 [1 per cell]  2 O 2.52
P: 0.0000 0.5000 0.0000 [2 per cell]  2 Rb 3.50
O: 0.0000 0.0000 0.5000 [1 per cell]  2 Rb 2.52
F: 0.5000 0.5000 0.5000 [1 per cell]  8 P 4.31

## Properties
- Formation energy (no corrections): 1567 meV/atom